1.
# K3Pu3SnSe8

K3Pu3SnSe8 after structural relaxation (GGA-PBE, Alexandria).

Lattice parameters (Å, degrees): 9.1035 9.1035 9.1035 55.45 55.45 55.45
Fractional positions:
K 0.0000 0.5000 0.5000
K 0.5000 0.0000 0.5000
K 0.5000 0.5000 0.0000
Pu 0.0000 0.0000 0.5000
Pu 0.0000 0.5000 0.0000
Pu 0.5000 0.0000 0.0000
Sn 0.5000 0.5000 0.5000
Se 0.2272 0.7360 0.7360
Se 0.2345 0.2345 0.2345
Se 0.2640 0.2640 0.7728
Se 0.2640 0.7728 0.2640
Se 0.7360 0.2272 0.7360
Se 0.7360 0.7360 0.2272
Se 0.7655 0.7655 0.7655
Se 0.7728 0.2640 0.2640

Output
Formation energy without anion corrections = -1.248 eV/atom
Symmetry = R-3m
VASP energy = -96.89 eV per cell


2.
# K2PuSnSe5

K2PuSnSe5 after structural relaxation (GGA-PBE, Alexandria).

Lattice parameters (Å, degrees): 9.9031 9.9031 14.3952 90.00 90.00 155.43
Fractional positions:
K 0.1164 0.8836 0.5000
K 0.1351 0.8649 0.1486
K 0.8649 0.1351 0.6486
K 0.8836 0.1164 0.0000
Pu 0.2081 0.7919 0.8545
Pu 0.7919 0.2081 0.3545
Sn 0.4438 0.5562 0.2435
Sn 0.5562 0.4438 0.7435
Se 0.0488 0.9512 0.8587
Se 0.2960 0.7040 0.4807
Se 0.3113 0.6887 0.2135
Se 0.3441 0.6559 0.8291
Se 0.4941 0.5059 0.5938
Se 0.5059 0.4941 0.0938
Se 0.6559 0.3441 0.3291
Se 0.6887 0.3113 0.7135
Se 0.7040 0.2960 0.9807
Se 0.9512 0.0488 0.3587

Output
Formation energy without anion corrections = -0.952 eV/atom
Symmetry = Cmc2_1
VASP energy = -93.04 eV per cell


3.
# K4Pu3TaSe8

K4Pu3TaSe8 after structural relaxation (GGA-PBE, Alexandria).

Lattice parameters (Å, degrees): 8.3441 8.3441 9.0556 117.33 117.33 59.99
Fractional positions:
K 0.0000 0.0000 0.0000
K 0.0000 0.5000 0.0000
K 0.5000 0.0000 0.0000
K 0.5000 0.5000 0.0000
Pu 0.0000 0.0000 0.5000
Pu 0.0000 0.5000 0.5000
Pu 0.5000 0.0000 0.5000
Ta 0.5000 0.5000 0.5000
Se 0.2382 0.2382 0.7123
Se 0.2599 0.7198 0.6997
Se 0.2788 0.2788 0.3007
Se 0.2802 0.7401 0.3003
Se 0.7198 0.2599 0.6997
Se 0.7212 0.7212 0.6993
Se 0.7401 0.2802 0.3003
Se 0.7618 0.7618 0.2877

Output
Formation energy without anion corrections = -1.262 eV/atom
Symmetry = C2/m
VASP energy = -107.30 eV per cell


4.
# K4Tb3PuSe8

K4Tb3PuSe8 after structural relaxation (GGA-PBE, Alexandria).

Lattice parameters (Å, degrees): 9.1058 9.1058 9.1058 55.66 55.66 55.66
Fractional positions:
K 0.0000 0.0000 0.0000
K 0.0000 0.5000 0.5000
K 0.5000 0.0000 0.5000
K 0.5000 0.5000 0.0000
Tb 0.0000 0.0000 0.5000
Tb 0.0000 0.5000 0.0000
Tb 0.5000 0.0000 0.0000
Pu 0.5000 0.5000 0.5000
Se 0.2323 0.7366 0.7366
Se 0.2354 0.2354 0.2354
Se 0.2634 0.2634 0.7677
Se 0.2634 0.7677 0.2634
Se 0.7366 0.2323 0.7366
Se 0.7366 0.7366 0.2323
Se 0.7646 0.7646 0.7646
Se 0.7677 0.2634 0.2634

Output
Formation energy without anion corrections = -1.682 eV/atom
Symmetry = R-3m
VASP energy = -87.39 eV per cell


5.
# KTbPu2Se4

KTbPu2Se4 after structural relaxation (GGA-PBE, Alexandria).

Lattice parameters (Å, degrees): 7.3123 4.1899 7.4526 90.00 109.01 90.00
Fractional positions:
K 0.0000 0.0000 0.0000
Tb 0.0000 0.5000 0.5000
Pu 0.5000 0.0000 0.5000
Pu 0.5000 0.5000 0.0000
Se 0.2519 0.0000 0.7402
Se 0.2632 0.5000 0.2716
Se 0.7368 0.5000 0.7284
Se 0.7481 0.0000 0.2598

Output
Formation energy without anion corrections = -1.515 eV/atom
Symmetry = P2/m
VASP energy = -60.45 eV per cell


6.
# K3Tb3PuSe8

K3Tb3PuSe8 after structural relaxation (GGA-PBE, Alexandria).

Lattice parameters (Å, degrees): 9.1829 9.1829 9.1829 54.40 54.40 54.40
Fractional positions:
K 0.0000 0.5000 0.5000
K 0.5000 0.0000 0.5000
K 0.5000 0.5000 0.0000
Tb 0.0000 0.0000 0.5000
Tb 0.0000 0.5000 0.0000
Tb 0.5000 0.0000 0.0000
Pu 0.5000 0.5000 0.5000
Se 0.2351 0.2351 0.2351
Se 0.2379 0.7311 0.7311
Se 0.2689 0.2689 0.7621
Se 0.2689 0.7621 0.2689
Se 0.7311 0.2379 0.7311
Se 0.7311 0.7311 0.2379
Se 0.7621 0.2689 0.2689
Se 0.7649 0.7649 0.7649

Output
Formation energy without anion corrections = -1.652 eV/atom
Symmetry = R-3m
VASP energy = -84.17 eV per cell